Entry 1:
Compound: SiAs2Au
Source: Alexandria via LeMat-Bulk
Functional: PBE
Structure: optimized geometry

Summary:
* symmetry: Imm2, No. 44
* crystal system: orthorhombic
* ρ: 8.06 Mg/m³
* energy relative to the elements, uncorrected: 0.30 eV per atom

a b c (Å): 6.614 6.614 6.614
angles (deg): 149.96 147.68 44.70
Positions (direct):
As: 0.947 0.947 0.000
As: 0.220 0.720 0.500
Au: 0.545 0.545 0.000
Si: 0.788 0.288 0.500

---

Entry 2:
Compound: Na4Ga2Sn5
Source: Alexandria via LeMat-Bulk
Functional: PBE
Structure: optimized geometry

Summary:
* symmetry: P2/m, No. 10
* crystal system: monoclinic
* ρ: 4.98 Mg/m³
* energy of formation: -123 meV per atom

a b c (Å): 3.196 8.047 10.721
angles (deg): 93.64 90.00 90.00
Positions (direct):
Na: 0.500 0.703 0.554
Na: 0.500 0.153 0.897
Na: 0.500 0.297 0.446
Na: 0.500 0.847 0.103
Ga: 0.000 0.047 0.624
Ga: 0.000 0.953 0.376
Sn: 0.000 0.593 0.291
Sn: 0.000 0.200 0.183
Sn: 0.000 0.500 0.000
Sn: 0.000 0.800 0.817
Sn: 0.000 0.407 0.709

---

Entry 3:
Compound: ReSi3H
Source: Alexandria via LeMat-Bulk
Functional: PBE
Structure: optimized geometry

Summary:
* symmetry: Pm-3m, No. 221
* crystal system: cubic
* ρ: 7.93 Mg/m³
* polymorph energy (0 for the lowest one): 0.0 meV/atom

a b c (Å): 3.844 3.844 3.844
angles (deg): 90.00 90.00 90.00
Positions (direct):
Re: 0.500 0.500 0.500
Si: 0.000 0.500 0.000
Si: 0.000 0.000 0.500
Si: 0.500 0.000 0.000
H: 0.000 0.000 0.000

---

Entry 4:
Compound: Li2CaTeO
Source: Alexandria via LeMat-Bulk
Functional: PBE
Structure: optimized geometry

Summary:
* symmetry: P4/mmm, No. 123
* crystal system: tetragonal
* ρ: 3.77 Mg/m³
* energy relative to the elements, uncorrected: -1.71 eV per atom

a b c (Å): 4.358 4.358 4.580
angles (deg): 90.00 90.00 90.00
Positions (direct):
Ca: 0.000 0.000 0.500
Te: 0.500 0.500 0.500
O: 0.000 0.000 0.000
Li: 0.000 0.500 0.000
Li: 0.500 0.000 0.000

---

Entry 5:
Compound: Sc6Tl3Pt
Source: Alexandria via LeMat-Bulk
Functional: PBE
Structure: optimized geometry

Summary:
* symmetry: Pnnm, No. 58
* crystal system: orthorhombic
* ρ: 7.71 Mg/m³
* energy of formation: -421 meV per atom

a b c (Å): 4.876 8.560 11.122
angles (deg): 90.00 90.00 90.00
Positions (direct):
Sc: 0.500 0.156 0.917
Sc: 0.500 0.190 0.595
Sc: 0.500 0.485 0.264
Sc: 0.500 0.515 0.736
Sc: 0.500 0.810 0.405
Sc: 0.500 0.844 0.083
Sc: 0.000 0.344 0.417
Sc: 0.000 0.311 0.095
Sc: 0.000 0.015 0.764
Sc: 0.000 0.985 0.236
Sc: 0.000 0.689 0.905
Sc: 0.000 0.656 0.583
Tl: 0.500 0.847 0.730
Tl: 0.500 0.500 0.000
Tl: 0.500 0.153 0.270
Tl: 0.000 0.653 0.230
Tl: 0.000 0.000 0.500
Tl: 0.000 0.347 0.770
Pt: 0.500 0.500 0.500
Pt: 0.000 0.000 0.000

---

Entry 6:
Compound: OsICl2
Source: Alexandria via LeMat-Bulk
Functional: PBE
Structure: optimized geometry

Summary:
* symmetry: Fm-3m, No. 225
* crystal system: cubic
* ρ: 7.07 Mg/m³
* polymorph energy (0 for the lowest one): 1246.9 meV/atom
* energy relative to the elements, uncorrected: 1.47 eV per atom

a b c (Å): 5.052 5.052 5.052
angles (deg): 60.00 60.00 60.00
Site moments in Bohr magnetons follow the coordinates.
Positions (direct):
I: 0.000 0.000 0.000  0.27
Os: 0.500 0.500 0.500  3.14
Cl: 0.250 0.250 0.250  0.15
Cl: 0.750 0.750 0.750  0.15

---

Entry 7:
Compound: La3CN5
Source: Alexandria via LeMat-Bulk
Functional: PBE
Structure: optimized geometry

Summary:
* symmetry: I4/mcm, No. 140
* crystal system: tetragonal
* ρ: 6.68 Mg/m³
* energy relative to the elements, uncorrected: -0.71 eV per atom

a b c (Å): 6.874 6.874 7.155
angles (deg): 118.71 118.71 90.00
Positions (direct):
La: 0.690 0.190 0.000
La: 0.310 0.810 0.000
La: 0.810 0.690 0.000
La: 0.190 0.310 0.000
La: 0.250 0.250 0.500
La: 0.750 0.750 0.500
C: 0.750 0.250 0.500
C: 0.250 0.750 0.500
N: 0.956 0.456 0.677
N: 0.722 0.222 0.677
N: 0.222 0.956 0.677
N: 0.456 0.722 0.677
N: 0.044 0.544 0.323
N: 0.278 0.778 0.323
N: 0.778 0.044 0.323
N: 0.544 0.278 0.323
N: 0.500 0.500 0.000
N: 0.000 0.000 0.000

---

Entry 8:
Compound: FeSi3H
Source: Alexandria via LeMat-Bulk
Functional: PBE
Structure: optimized geometry

Summary:
* symmetry: Pm-3m, No. 221
* crystal system: cubic
* ρ: 4.34 Mg/m³
* polymorph energy (0 for the lowest one): 35.9 meV/atom

a b c (Å): 3.779 3.779 3.779
angles (deg): 90.00 90.00 90.00
Site moments in Bohr magnetons follow the coordinates.
Positions (direct):
H: 0.000 0.000 0.000  -0.01
Si: 0.000 0.500 0.000  -0.01
Si: 0.000 0.000 0.500  0.03
Si: 0.500 0.000 0.000  -0.01
Fe: 0.500 0.500 0.500  1.48

---

Spin magnetization (computed, Bohr magnetons per cell): 0.00; 0.00; 0.00; 0.00; 0.00; 4.16; 0.01; 1.40